{
  "formula": "BeZnPt2",
  "functional": "GGA-PBEsol",
  "state": "optimized geometry",
  "final_energy_ev_per_fu": -21.43,
  "delta_e_f_kj_per_mol_atoms": -46.3,
  "e_above_lowest_polymorph_mev_per_atom": 196,
  "cell": [[3.911, 0.000, 0.000], [0.000, 1.378, 4.792], [0.000, -1.378, 4.792]],
  "species": ["Be", "Zn", "Pt", "Pt"],
  "fractional_positions": [[0.000, 0.000, 0.000], [0.500, 0.157, 0.157], [0.000, 0.753, 0.753], [0.500, 0.430, 0.430]]
}